1.
The following is a PBE calculation of a relaxed structure of Tm3Ga2Pd7, from the Alexandria database.

The size of the total moment comes out at 0.00 μB per cell. The value obtained for the energy of formation from the pure elements is -0.773 eV per atom. The value obtained for the total DFT energy (no corrections) is -0.3987 Ry per atom.

Cell: 4.477 4.228 12.112 Å, 100.05 90.00 90.00°
Atoms (fractional coordinates):
Pd 0.000 0.719 0.437
Pd 0.000 0.419 0.838
Ga 0.000 0.851 0.702
Tm 0.500 0.661 0.321
Pd 0.000 0.000 0.000
Pd 0.500 0.917 0.834
Pd 0.500 0.083 0.166
Pd 0.000 0.581 0.162
Tm 0.500 0.500 0.000
Pd 0.000 0.281 0.563
Tm 0.500 0.339 0.679
Ga 0.000 0.149 0.298

2.
The following is a PBE calculation of a relaxed structure of TmGa8Pd2, from the Alexandria database.

The size of the total moment comes out at 0.00 μB per cell. The value obtained for the energy of formation from the pure elements is -0.308 eV per atom. The value obtained for the total DFT energy (no corrections) is -0.2837 Ry per atom.

Cell: 4.871 6.624 6.624 Å, 97.27 95.15 95.15°
Atoms (fractional coordinates):
Ga 0.278 0.657 0.657
Ga 0.158 0.366 0.100
Pd 0.000 0.722 0.278
Tm 0.500 0.000 0.000
Pd 0.000 0.278 0.722
Ga 0.500 0.305 0.695
Ga 0.158 0.100 0.366
Ga 0.722 0.343 0.343
Ga 0.500 0.695 0.305
Ga 0.842 0.900 0.634
Ga 0.842 0.634 0.900

3.
The following is a PBE calculation of a relaxed structure of Tm2Ga6Pd, from the Alexandria database.

The size of the total moment comes out at 0.00 μB per cell. The value obtained for the energy of formation from the pure elements is -0.565 eV per atom. The value obtained for the total DFT energy (no corrections) is -0.3053 Ry per atom.

Cell: 5.734 5.795 5.795 Å, 59.97 90.03 90.03°
Atoms (fractional coordinates):
Tm 0.142 0.333 0.333
Ga 0.323 0.823 0.355
Ga 0.677 0.177 0.645
Pd 0.000 0.000 0.000
Ga 0.322 0.822 0.822
Ga 0.323 0.355 0.823
Ga 0.678 0.178 0.178
Tm 0.858 0.667 0.667
Ga 0.677 0.645 0.177

4.
The following is a PBE calculation of a relaxed structure of Tm2GaPd, from the Alexandria database.

The size of the total moment comes out at 0.00 μB per cell. The value obtained for the energy of formation from the pure elements is -0.549 eV per atom. The value obtained for the total DFT energy (no corrections) is -0.3557 Ry per atom.

Cell: 3.664 3.664 8.371 Å, 77.36 77.36 60.00°
Atoms (fractional coordinates):
Tm 0.244 0.244 0.267
Pd 0.500 0.500 0.500
Tm 0.756 0.756 0.733
Ga 0.000 0.000 0.000

5.
The following is a PBE calculation of a relaxed structure of TmGa3Pd3, from the Alexandria database.

The size of the total moment comes out at 0.00 μB per cell. The calculation puts the polymorph energy (0 for the lowest one) at 3.25 eV/f.u. The value obtained for the energy of formation from the pure elements is -0.199 eV per atom. The value obtained for the total DFT energy (no corrections) is -0.3205 Ry per atom.

Cell: 6.772 6.772 6.772 Å, 90.00 90.00 90.00°
Atoms (fractional coordinates):
Ga 0.000 0.250 0.500
Ga 0.250 0.500 0.000
Tm 0.500 0.500 0.500
Pd 0.750 0.000 0.500
Pd 0.000 0.500 0.750
Ga 0.000 0.750 0.500
Pd 0.500 0.250 0.000
Pd 0.000 0.500 0.250
Pd 0.250 0.000 0.500
Ga 0.750 0.500 0.000
Ga 0.500 0.000 0.750
Pd 0.500 0.750 0.000
Tm 0.000 0.000 0.000
Ga 0.500 0.000 0.250

6.
The following is a PBE calculation of a relaxed structure of TmGa7Pd5, from the Alexandria database.

The size of the total moment comes out at 0.00 μB per cell. The value obtained for the energy of formation from the pure elements is -0.587 eV per atom. The value obtained for the total DFT energy (no corrections) is -0.3350 Ry per atom.

Cell: 5.519 6.863 6.863 Å, 83.86 66.29 66.29°
Atoms (fractional coordinates):
Ga 0.633 0.367 0.367
Ga 0.989 0.668 0.354
Ga 0.263 0.237 0.237
Pd 0.007 0.015 0.473
Pd 0.734 0.766 0.766
Pd 0.007 0.473 0.015
Pd 0.506 0.015 0.473
Ga 0.340 0.660 0.660
Pd 0.506 0.473 0.015
Ga 0.515 0.795 0.175
Ga 0.989 0.354 0.668
Ga 0.515 0.175 0.795
Tm 0.997 0.003 0.003